Computed, not measured: a PBEsol-optimized structure of Sb2RuSeI at the meta-GGA SCAN level of DFT.

Cell: 5.2871 5.2871 5.3078 Å, 90.00 90.00 90.00°
Space group P4/mmm (No. 123)
Inequivalent atoms, fractional coordinates:
Sb  0.0000  0.5000  0.0000
Ru  0.0000  0.0000  0.5000
Se  0.5000  0.5000  0.0000
I  0.5000  0.5000  0.5000

Computed properties:
Energy relative to the elements, uncorrected = 7.19 eV per formula unit
Crystal system = tetragonal